No. 1
VASP calculation (GGA-PBE) on crystalline NbF at its relaxed geometry.

```
4
Lattice="3.0732 0.0000 0.0000 0.0000 3.4843 0.0000 0.0000 0.0000 5.0952" Properties=species:S:1:pos:R:3 pbc="T T T"
Nb 0.7683 0.8711 0.8844
Nb 2.3049 2.6133 4.2108
F 0.7683 2.6133 2.6115
F 2.3049 0.8711 2.4837
```

Summary:
As for the density of states at the Fermi level: 0.597 states/eV per atom. The space group is Pmmn, No. 59. As for the crystal system: orthorhombic. The formation energy without anion corrections comes out at -1.5206 eV/atom. The calculation puts the density at 6.81 g/cm³.

No. 2
VASP calculation (GGA-PBE) on crystalline AcDyGe4 at its relaxed geometry.

```
24
Lattice="7.8788 0.0000 0.0000 0.0000 17.6397 0.0000 0.0000 0.0000 4.2354" Properties=species:S:1:pos:R:3 pbc="T T T"
Ac 1.0842 2.9227 0.0000
Ac 2.8551 11.7425 0.0000
Ac 5.0236 5.8971 0.0000
Ac 6.7945 14.7170 0.0000
Dy 1.0868 7.3009 0.0000
Dy 2.8526 16.1207 0.0000
Dy 5.0262 1.5189 0.0000
Dy 6.7919 10.3388 0.0000
Ge 0.1914 12.0576 2.1177
Ge 0.7258 16.5451 2.1177
Ge 1.1897 9.5145 2.1177
Ge 1.6077 14.1558 2.1177
Ge 2.3317 5.3360 2.1177
Ge 2.7497 0.6946 2.1177
Ge 3.2136 7.7253 2.1177
Ge 3.7480 3.2378 2.1177
Ge 4.1308 14.4018 2.1177
Ge 4.6652 9.9144 2.1177
Ge 5.1290 16.9450 2.1177
Ge 5.5471 12.3037 2.1177
Ge 6.2711 3.4839 2.1177
Ge 6.6891 8.1252 2.1177
Ge 7.1529 1.0946 2.1177
Ge 7.6873 5.5820 2.1177
```

Summary:
As for the density of states at the Fermi level: 0.317 states/eV per atom. The space group is Pbam, No. 55. The value obtained for the energy of formation from the pure elements is -556 meV per atom. As for the crystal system: orthorhombic. The calculation puts the density at 7.67 g/cm³.

No. 3
VASP calculation (GGA-PBE) on crystalline LiTcPPd at its relaxed geometry.

```
4
Lattice="0.0000 2.9159 2.9159 2.9159 0.0000 2.9159 2.9159 2.9159 0.0000" Properties=species:S:1:pos:R:3 pbc="T T T"
Li 0.0000 0.0000 0.0000
Tc 4.3738 4.3738 4.3738
P 2.9159 2.9159 2.9159
Pd 1.4579 1.4579 1.4579
```

Summary:
As for the density of states at the Fermi level: 0.545 states/eV per atom. The space group is F-43m, No. 216. The value obtained for the energy of formation from the pure elements is -353 meV per atom. As for the crystal system: cubic. The calculation puts the density at 8.12 g/cm³.

No. 4
VASP calculation (GGA-PBE) on crystalline SrY3Ni at its relaxed geometry.

```
5
Lattice="5.4851 0.0000 0.0000 0.0000 5.4851 0.0000 0.0000 0.0000 5.4851" Properties=species:S:1:pos:R:3 pbc="T T T"
Sr 0.0000 0.0000 0.0000
Y 0.0000 0.0000 2.7426
Y 0.0000 2.7426 0.0000
Y 2.7426 0.0000 0.0000
Ni 2.7426 2.7426 2.7426
```

Summary:
As for the density of states at the Fermi level: 1.762 states/eV per atom. The space group is Pm-3m, No. 221. The value obtained for the energy of formation from the pure elements is 1602 meV per atom. As for the crystal system: cubic. The calculation puts the density at 4.16 g/cm³.

No. 5
VASP calculation (GGA-PBE) on crystalline Cu5PbAu7 at its relaxed geometry.

```
13
Lattice="-2.6171 4.5564 4.6241 2.6171 -4.5564 4.6241 2.6171 4.5564 -4.6241" Properties=species:S:1:pos:R:3 pbc="T T T"
Cu 0.0000 0.0000 0.0000
Cu 1.3002 2.2311 -0.1480
Cu 3.9340 2.2311 -0.1480
Cu -1.3169 2.3254 4.4760
Cu 1.3169 2.3254 4.4760
Pb 2.6171 0.0000 2.1399
Au 2.6171 2.6782 -2.5023
Au 0.0000 1.8782 2.1217
Au 0.0000 0.0000 4.2781
Au 0.0000 4.5564 0.7267
Au 2.6171 3.1268 2.2163
Au 0.0000 1.4297 6.8404
Au 0.0000 4.5564 3.6877
```

Summary:
As for the density of states at the Fermi level: 0.228 states/eV per atom. The space group is Imm2, No. 44. The value obtained for the energy of formation from the pure elements is -11 meV per atom. As for the crystal system: orthorhombic. The calculation puts the density at 14.33 g/cm³.

No. 6
VASP calculation (GGA-PBE) on crystalline K2TaHg at its relaxed geometry.

```
4
Lattice="3.0045 0.0000 0.0000 0.0000 4.5220 0.0000 0.0000 0.0000 10.4460" Properties=species:S:1:pos:R:3 pbc="T T T"
K 0.0000 0.0000 0.0000
K 1.5023 2.2610 4.1821
Ta 0.0000 0.0000 6.9527
Hg 1.5023 2.2610 7.9118
```

Summary:
As for the density of states at the Fermi level: 0.812 states/eV per atom. The space group is Pmm2, No. 25. The value obtained for the energy of formation from the pure elements is 702 meV per atom. As for the crystal system: orthorhombic. The calculation puts the density at 5.38 g/cm³.

No. 7
VASP calculation (GGA-PBE) on crystalline Er2Sc8Os at its relaxed geometry.

```
11
Lattice="8.5836 -2.4924 0.0000 8.5836 2.4924 0.0000 -0.4116 0.0000 6.2190" Properties=species:S:1:pos:R:3 pbc="T T T"
Er 3.7893 0.0000 1.0354
Er 12.9663 0.0000 5.1836
Sc 0.4178 0.0000 1.6880
Sc 2.4541 0.0000 4.1180
Sc 5.8450 0.0000 3.7765
Sc 7.1340 0.0000 0.7020
Sc 9.6216 0.0000 5.5170
Sc 10.9106 0.0000 2.4425
Sc 14.3015 0.0000 2.1010
Sc 16.3378 0.0000 4.5310
Os 8.3778 0.0000 3.1095
```

Summary:
As for the density of states at the Fermi level: 1.647 states/eV per atom. The space group is C2/m, No. 12. The value obtained for the energy of formation from the pure elements is -80 meV per atom. As for the crystal system: monoclinic. The calculation puts the density at 5.52 g/cm³.

No. 8
VASP calculation (GGA-PBE) on crystalline SiSBrN2 at its relaxed geometry.

```
5
Lattice="3.7592 0.0000 0.0000 0.0000 3.7592 0.0000 0.0000 0.0000 7.0152" Properties=species:S:1:pos:R:3 pbc="T T T"
Si 0.0000 0.0000 0.0000
S 1.8796 1.8796 0.0000
Br 1.8796 1.8796 3.5076
N 0.0000 1.8796 3.5076
N 1.8796 0.0000 3.5076
```

Summary:
As for the density of states at the Fermi level: 0.555 states/eV per atom. The space group is P4/mmm, No. 123. As for the crystal system: tetragonal. The formation energy without anion corrections comes out at 2.1180 eV/atom. The calculation puts the density at 2.82 g/cm³.